# 1
Below is crystalline CoHgW2 at its relaxed geometry, with properties calculated at the PBE-GGA level.

Calculated values
The magnetic moment is 0.0000 μB/atom. The calculation puts the calculated volume at 63.5 Å³/cell. As for the total DFT energy (no corrections): -31.7 eV for the cell shown. The energy of formation from the pure elements is 0.400 eV/atom.

a b c (Å): 2.7742 2.7742 8.3953
angles (deg): 90.00 90.00 100.61
Last column: nearest neighbours and their distance in Å.
Positions (direct):
Co 0.0000 0.0000 0.0000  4 W 2.45-2.72, 2 Hg 2.74
Hg 0.5000 0.5000 0.2495  4 Co 2.74-2.99, 4 Hg 2.77, 2 W 3.00
W 0.0000 0.0000 0.5375  8 W 2.77-3.06, 2 Hg 3.00
W 0.5000 0.5000 0.7984  4 Co 2.45-2.72

***

# 2
Below is crystalline CoHg2W at its relaxed geometry, with properties calculated at the PBE-GGA level.

Calculated values
The magnetic moment is 0.4196 μB/atom. The calculation puts the calculated volume at 69.3 Å³/cell. As for the total DFT energy (no corrections): -17.7 eV for the cell shown. The energy of formation from the pure elements is 0.740 eV/atom. As for the energy relative to the lowest polymorph listed for this composition: 0.336 eV/atom.

a b c (Å): 9.3869 9.3869 9.3869
angles (deg): 18.04 18.04 18.04
Last column: nearest neighbours and their distance in Å.
Positions (direct):
Co 0.0000 0.0000 0.0000  6 Hg 2.76, 6 Co 2.94
Hg 0.2548 0.2548 0.2548  3 Co 2.76, 6 Hg 2.94, 3 W 2.97
Hg 0.7452 0.7452 0.7452  3 Co 2.76, 6 Hg 2.94, 3 W 2.97
W 0.5000 0.5000 0.5000  6 W 2.94, 6 Hg 2.97

***

# 3
Below is crystalline CoHg2W at its relaxed geometry, with properties calculated at the PBE-GGA level.

Calculated values
The magnetic moment is 0.1793 μB/atom. The calculation puts the calculated volume at 70.0 Å³/cell. As for the total DFT energy (no corrections): -19.0 eV for the cell shown. The energy of formation from the pure elements is 0.404 eV/atom. As for the energy relative to the lowest polymorph listed for this composition: 0.000 eV/atom.

a b c (Å): 2.9199 2.9199 8.2148
angles (deg): 90.00 90.00 90.00
Last column: nearest neighbours and their distance in Å.
Positions (direct):
Co 0.0000 0.0000 0.0000  4 W 2.51
Hg 0.0000 0.0000 0.5543  4 Hg 2.92, 4 W 3.04
Hg 0.5000 0.5000 0.2381  4 Co 2.84, 4 Hg 2.92
W 0.5000 0.5000 0.8257  4 Co 2.51

***

# 4
Below is crystalline CoHgW2 at its relaxed geometry, with properties calculated at the PBE-GGA level.

Calculated values
The magnetic moment is 0.0000 μB/atom. The calculation puts the calculated volume at 63.2 Å³/cell. As for the total DFT energy (no corrections): -31.7 eV for the cell shown. The energy of formation from the pure elements is 0.405 eV/atom.

a b c (Å): 2.7721 2.7721 8.2293
angles (deg): 90.00 90.00 90.00
Last column: nearest neighbours and their distance in Å.
Positions (direct):
Co 0.0000 0.0000 0.0000  4 W 2.54, 4 Co 2.77, 4 Hg 2.83
Hg 0.5000 0.5000 0.2483  4 Hg 2.77, 4 Co 2.83, 4 W 3.06
W 0.0000 0.0000 0.5343  8 W 2.77-2.96, 4 Hg 3.06
W 0.5000 0.5000 0.8031  4 Co 2.54, 4 W 2.77

***

# 5
Below is crystalline CoHgW2 at its relaxed geometry, with properties calculated at the PBE-GGA level.

Calculated values
The magnetic moment is 0.2286 μB/atom. The calculation puts the calculated volume at 63.3 Å³/cell. As for the total DFT energy (no corrections): -31.0 eV for the cell shown. The energy of formation from the pure elements is 0.582 eV/atom.

a b c (Å): 5.0386 5.0386 4.6055
angles (deg): 103.00 103.00 33.87
Last column: nearest neighbours and their distance in Å.
Positions (direct):
Co 0.0000 0.0000 0.0000  6 W 2.73-2.95, 4 Hg 2.73, 2 Co 2.94
Hg 0.5000 0.5000 0.5000  4 Co 2.73, 6 W 2.86-2.93, 2 Hg 2.94
W 0.2611 0.2611 0.7692  6 W 2.63-2.94, 2 Co 2.73, 3 Hg 2.86-2.93
W 0.7389 0.7389 0.2308  6 W 2.63-2.94, 2 Co 2.73, 3 Hg 2.86-2.93

***

# 6
Below is crystalline Co2HgW2 at its relaxed geometry, with properties calculated at the PBE-GGA level.

Calculated values
The magnetic moment is 0.0000 μB/atom. The calculation puts the calculated volume at 146.9 Å³/cell. As for the total DFT energy (no corrections): -77.3 eV for the cell shown. The energy of formation from the pure elements is 0.349 eV/atom.

a b c (Å): 7.3137 7.3137 2.7465
angles (deg): 90.00 90.00 90.00
Last column: nearest neighbours and their distance in Å.
Positions (direct):
Co 0.1252 0.3748 0.0000  6 W 2.54-2.57, 3 Co 2.59-2.75
Co 0.3748 0.8748 0.0000  6 W 2.54-2.57, 3 Co 2.59-2.75
Co 0.6252 0.1252 0.0000  6 W 2.54-2.57, 3 Co 2.59-2.75
Co 0.8748 0.6252 0.0000  6 W 2.54-2.57, 3 Co 2.59-2.75
Hg 0.0000 0.0000 0.0000  2 Hg 2.75, 4 Co 2.89, 8 W 3.06
Hg 0.5000 0.5000 0.0000  2 Hg 2.75, 4 Co 2.89, 8 W 3.06
W 0.1644 0.6644 0.5000  6 Co 2.54-2.57, 2 W 2.75
W 0.3356 0.1644 0.5000  6 Co 2.54-2.57, 2 W 2.75
W 0.6644 0.8356 0.5000  6 Co 2.54-2.57, 2 W 2.75
W 0.8356 0.3356 0.5000  6 Co 2.54-2.57, 2 W 2.75

***

# 7
Below is crystalline CoHg2W at its relaxed geometry, with properties calculated at the PBE-GGA level.

Calculated values
The magnetic moment is 0.1981 μB/atom. The calculation puts the calculated volume at 68.5 Å³/cell. As for the total DFT energy (no corrections): -17.3 eV for the cell shown. The energy of formation from the pure elements is 0.836 eV/atom. As for the energy relative to the lowest polymorph listed for this composition: 0.432 eV/atom.

a b c (Å): 5.6067 5.6067 5.6067
angles (deg): 149.88 128.66 60.68
Last column: nearest neighbours and their distance in Å.
Positions (direct):
Co 0.0000 0.0000 0.0000  4 Hg 2.66, 4 W 2.83, 2 Co 2.91
Hg 0.2298 0.7298 0.5000  2 Co 2.66, 6 Hg 2.86-2.91
Hg 0.7702 0.2702 0.5000  2 Co 2.66, 6 Hg 2.86-2.91
W 0.5000 0.5000 0.0000  4 Co 2.83, 2 W 2.91, 4 Hg 2.99

***

# 8
Below is crystalline CoHgW at its relaxed geometry, with properties calculated at the PBE-GGA level.

Calculated values
The magnetic moment is 0.0819 μB/atom. The calculation puts the calculated volume at 47.0 Å³/cell. As for the total DFT energy (no corrections): -19.0 eV for the cell shown. The energy of formation from the pure elements is 0.442 eV/atom. As for the energy relative to the lowest polymorph listed for this composition: 0.188 eV/atom.

a b c (Å): 6.1838 6.1838 6.1838
angles (deg): 153.49 153.49 37.84
Last column: nearest neighbours and their distance in Å.
Positions (direct):
Co 0.0000 0.0000 0.0000  4 W 2.53
Hg 0.3281 0.3281 0.0000  4 Hg 2.84, 4 Co 2.84, 4 W 3.05
W 0.6313 0.6313 0.0000  4 Co 2.53

***

# 9
Below is crystalline CoHg2W at its relaxed geometry, with properties calculated at the PBE-GGA level.

Calculated values
The magnetic moment is 0.3611 μB/atom. The calculation puts the calculated volume at 148.5 Å³/cell. As for the total DFT energy (no corrections): -31.5 eV for the cell shown. The energy of formation from the pure elements is 1.222 eV/atom. As for the energy relative to the lowest polymorph listed for this composition: 0.818 eV/atom.

a b c (Å): 5.8785 5.8785 5.8785
angles (deg): 102.66 102.66 124.17
Last column: nearest neighbours and their distance in Å.
Positions (direct):
Co 0.0000 0.0000 0.0000  4 Hg 2.57, 2 W 2.75
Co 0.7500 0.2500 0.5000  4 Hg 2.57, 2 W 2.75
Hg 0.1020 0.6250 0.9770  2 Co 2.57, 2 Hg 2.77, 2 W 2.80
Hg 0.3750 0.3520 0.4770  2 Co 2.57, 2 Hg 2.77, 2 W 2.80
Hg 0.6480 0.1250 0.0230  2 Co 2.57, 2 Hg 2.77, 2 W 2.80
Hg 0.8750 0.8980 0.5230  2 Co 2.57, 2 Hg 2.77, 2 W 2.80
W 0.2500 0.7500 0.5000  2 Co 2.75, 4 Hg 2.80
W 0.5000 0.5000 0.0000  2 Co 2.75, 4 Hg 2.80

***

# 10
Below is crystalline CoHg2W at its relaxed geometry, with properties calculated at the PBE-GGA level.

Calculated values
The magnetic moment is 0.5597 μB/atom. The calculation puts the calculated volume at 69.6 Å³/cell. As for the total DFT energy (no corrections): -17.4 eV for the cell shown. The energy of formation from the pure elements is 0.808 eV/atom. As for the energy relative to the lowest polymorph listed for this composition: 0.404 eV/atom.

a b c (Å): 5.1887 5.1887 2.8024
angles (deg): 90.00 90.00 112.62
Last column: nearest neighbours and their distance in Å.
Positions (direct):
Co 0.0000 0.0000 0.0000  2 Co 2.80, 2 W 2.88, 8 Hg 2.95
Hg 0.0000 0.5000 0.5000  4 Hg 2.80-2.88, 4 W 2.95, 4 Co 2.95
Hg 0.5000 0.0000 0.5000  4 Hg 2.80-2.88, 4 W 2.95, 4 Co 2.95
W 0.5000 0.5000 0.0000  2 W 2.80, 2 Co 2.88, 8 Hg 2.95

***

# 11
Below is crystalline CoHg2W at its relaxed geometry, with properties calculated at the PBE-GGA level.

Calculated values
The magnetic moment is 0.3896 μB/atom. The calculation puts the calculated volume at 69.1 Å³/cell. As for the total DFT energy (no corrections): -17.3 eV for the cell shown. The energy of formation from the pure elements is 0.828 eV/atom. As for the energy relative to the lowest polymorph listed for this composition: 0.424 eV/atom.

a b c (Å): 4.9802 4.9802 5.1119
angles (deg): 101.59 101.59 33.86
Last column: nearest neighbours and their distance in Å.
Positions (direct):
Co 0.0000 0.0000 0.0000  6 Hg 2.78-2.98, 2 Co 2.90, 4 W 2.94
Hg 0.2584 0.2584 0.7577  3 Co 2.78-2.98, 3 W 2.88-2.92, 6 Hg 2.90-2.98
Hg 0.7416 0.7416 0.2423  3 Co 2.78-2.98, 3 W 2.88-2.92, 6 Hg 2.90-2.98
W 0.5000 0.5000 0.5000  6 Hg 2.88-2.92, 2 W 2.90, 4 Co 2.94

***

# 12
Below is crystalline CoHg2W at its relaxed geometry, with properties calculated at the PBE-GGA level.

Calculated values
The magnetic moment is 0.1564 μB/atom. The calculation puts the calculated volume at 71.3 Å³/cell. As for the total DFT energy (no corrections): -18.7 eV for the cell shown. The energy of formation from the pure elements is 0.487 eV/atom. As for the energy relative to the lowest polymorph listed for this composition: 0.083 eV/atom.

a b c (Å): 2.9301 2.9301 9.8041
angles (deg): 99.36 99.36 59.65
Last column: nearest neighbours and their distance in Å.
Positions (direct):
Co 0.0000 0.0000 0.0000  3 W 2.50-2.51
Hg 0.1672 0.1672 0.5394  6 Hg 2.91-2.93, 3 W 3.08-3.10
Hg 0.4181 0.4181 0.2369  3 Co 2.84, 6 Hg 2.91-2.93
W 0.5999 0.5999 0.8075  3 Co 2.50-2.51